1.
Cs2CrCl (PBE-GGA, optimized geometry); raw total energy = -3.4608 eV per atom; size of the total moment = 1.250 μB per atom; formation energy without anion corrections = -0.67 eV/f.u.
1.0
0.000 4.498 4.498
4.498 0.000 4.498
4.498 4.498 0.000
Cr Cs Cl
1 2 1
Cartesian
4.498 4.498 4.498
2.249 2.249 2.249
6.746 6.746 6.746
0.000 0.000 0.000

=====

2.
Ac2CdSnAu6 (PBE-GGA, optimized geometry); E_form = -0.487 eV/atom; raw total energy = -3.7670 eV per atom; size of the total moment = 0.000 μB per atom
1.0
7.093 -0.243 1.220
-0.721 7.236 -1.573
4.307 2.513 5.197
Au Ac Sn Cd
6 2 1 1
Cartesian
4.989 1.441 0.545
3.606 2.812 2.530
5.022 5.024 3.967
7.073 6.694 2.314
5.690 8.065 4.299
5.657 4.482 0.876
3.251 6.751 1.540
7.429 2.755 3.303
3.186 3.496 -0.177
0.000 0.000 0.000

=====

3.
HfFe2Ge (PBE-GGA, optimized geometry); E_form = 0.264 eV/atom; raw total energy = -7.6101 eV per atom; size of the total moment = 1.102 μB per atom
1.0
6.984 0.000 0.000
0.000 6.984 0.000
3.492 3.492 2.653
Fe Ge Hf
4 2 2
Cartesian
8.730 8.493 1.990
1.983 5.238 0.663
5.001 1.746 0.663
5.238 5.475 1.990
3.492 6.984 1.327
3.492 3.492 0.000
0.000 0.000 0.000
6.984 3.492 1.327

=====

4.
Fe8Ni3Ir2 (PBE-GGA, optimized geometry); E_form = 0.175 eV/atom; raw total energy = -7.7301 eV per atom; size of the total moment = 1.847 μB per atom
1.0
4.421 0.180 0.918
1.368 6.079 1.011
0.547 -0.558 6.263
Fe Ni Ir
8 3 2
Cartesian
3.787 3.649 1.748
2.550 2.052 6.445
3.375 0.318 4.383
2.095 3.210 4.383
4.394 0.954 1.892
1.942 4.747 6.301
4.241 2.491 3.810
2.961 5.383 3.810
2.211 0.090 0.459
1.157 4.378 2.357
0.758 1.143 4.917
2.124 1.695 2.473
4.212 4.006 5.720

=====

5.
Ca2SmOsO8 (PBE-GGA, optimized geometry); raw total energy = -6.9532 eV per atom; size of the total moment = 0.083 μB per atom; formation energy without anion corrections = -23.82 eV/f.u.
1.0
5.099 -0.041 -0.003
-0.020 4.980 -0.005
0.004 0.008 6.833
O Ca Os Sm
8 2 1 1
Cartesian
1.520 1.062 -0.002
3.111 3.785 3.411
4.386 1.036 1.373
1.972 1.162 3.414
3.563 3.885 6.827
4.389 1.041 5.452
0.694 3.906 1.373
0.697 3.910 5.451
2.541 2.472 1.647
2.543 2.475 5.178
0.000 0.000 0.000
0.002 0.004 3.417

=====

no.,D(E_F) (states/eV/cell)
1,0.00
2,5.18
3,8.17
4,14.59
5,0.04